Record 1
Compound: SiPb
Source: the Alexandria database
Functional: PBE
Structure: optimized geometry

Cell and atoms, written as CIF:
```
data_SiPb
_chemical_formula_sum 'Si2 Pb2'
_space_group_name_H-M_alt 'P 63 m c'
_space_group_IT_number 186
_space_group_name_Hall 'P 6c -2c'
_cell_length_a 4.4210
_cell_length_b 4.4210
_cell_length_c 7.2447
_cell_angle_alpha 90.00
_cell_angle_beta 90.00
_cell_angle_gamma 120.00
loop_
_atom_site_label
_atom_site_type_symbol
_atom_site_fract_x
_atom_site_fract_y
_atom_site_fract_z
Si1 Si 0.3333 0.6667 0.0000
Pb1 Pb 0.3333 0.6667 0.3756
```

Properties
**Crystal system**: hexagonal

=====

Record 2
Compound: Li2UOsO6
Source: the Alexandria database
Functional: PBE
Structure: optimized geometry

Cell and atoms, written as CIF:
```
data_Li2UOsO6
_chemical_formula_sum 'Li2 U1 Os1 O6'
_space_group_name_H-M_alt 'P 4 m m'
_space_group_IT_number 99
_space_group_name_Hall 'P 4 -2'
_cell_length_a 5.867
_cell_length_b 5.867
_cell_length_c 3.982
_cell_angle_alpha 90.00
_cell_angle_beta 90.00
_cell_angle_gamma 90.00
loop_
_atom_site_label
_atom_site_type_symbol
_atom_site_fract_x
_atom_site_fract_y
_atom_site_fract_z
Li1 Li 0.000 0.500 0.000
U1 U 0.000 0.000 0.965
Os1 Os 0.500 0.500 0.972
O1 O 0.000 0.000 0.466
O2 O 0.254 0.254 0.973
O3 O 0.500 0.500 0.472
```

Properties
**Crystal system**: tetragonal

=====

Record 3
Compound: HfRe2BiC
Source: the Alexandria database
Functional: PBE
Structure: optimized geometry

Cell and atoms, written as CIF:
```
data_HfRe2BiC
_chemical_formula_sum 'Hf1 Re2 Bi1 C1'
_space_group_name_H-M_alt 'P 4/m m m'
_space_group_IT_number 123
_space_group_name_Hall '-P 4 2'
_cell_length_a 5.067
_cell_length_b 5.067
_cell_length_c 4.205
_cell_angle_alpha 90.00
_cell_angle_beta 90.00
_cell_angle_gamma 90.00
loop_
_atom_site_label
_atom_site_type_symbol
_atom_site_fract_x
_atom_site_fract_y
_atom_site_fract_z
Hf1 Hf 0.000 0.000 0.000
Re1 Re 0.000 0.500 0.500
Bi1 Bi 0.500 0.500 0.500
C1 C 0.500 0.500 0.000
```

Properties
**Crystal system**: tetragonal
**ΔH_f (0 K)**: 2.841 eV/atom

=====

Record 4
Compound: YScBe
Source: the Alexandria database
Functional: PBE
Structure: optimized geometry

Cell and atoms, written as CIF:
```
data_YScBe
_chemical_formula_sum 'Y4 Sc4 Be4'
_space_group_name_H-M_alt 'F -4 3 m'
_space_group_IT_number 216
_space_group_name_Hall 'F -4 2 3'
_cell_length_a 6.589
_cell_length_b 6.589
_cell_length_c 6.589
_cell_angle_alpha 90.00
_cell_angle_beta 90.00
_cell_angle_gamma 90.00
loop_
_atom_site_label
_atom_site_type_symbol
_atom_site_fract_x
_atom_site_fract_y
_atom_site_fract_z
Y1 Y 0.000 0.000 0.000
Sc1 Sc 0.250 0.250 0.750
Be1 Be 0.250 0.250 0.250
```

Properties
**Crystal system**: cubic
**ΔH_f (0 K)**: 1.001 eV/atom

=====

Record 5
Compound: NaSc2TaMn
Source: the Alexandria database
Functional: PBE
Structure: optimized geometry

Cell and atoms, written as CIF:
```
data_NaSc2TaMn
_chemical_formula_sum 'Na1 Sc2 Ta1 Mn1'
_space_group_name_H-M_alt 'P 4/m m m'
_space_group_IT_number 123
_space_group_name_Hall '-P 4 2'
_cell_length_a 5.027
_cell_length_b 5.027
_cell_length_c 5.348
_cell_angle_alpha 90.00
_cell_angle_beta 90.00
_cell_angle_gamma 90.00
loop_
_atom_site_label
_atom_site_type_symbol
_atom_site_fract_x
_atom_site_fract_y
_atom_site_fract_z
Na1 Na 0.000 0.000 0.000
Sc1 Sc 0.000 0.500 0.500
Ta1 Ta 0.000 0.000 0.500
Mn1 Mn 0.500 0.500 0.000
```

Properties
**Crystal system**: tetragonal
**ΔH_f (0 K)**: 1.812 eV/atom

=====

Record 6
Compound: KZrAg2
Source: the Alexandria database
Functional: PBE
Structure: optimized geometry

Cell and atoms, written as CIF:
```
data_KZrAg2
_chemical_formula_sum 'K4 Zr4 Ag8'
_space_group_name_H-M_alt 'F m -3 m'
_space_group_IT_number 225
_space_group_name_Hall '-F 4 2 3'
_cell_length_a 7.248
_cell_length_b 7.248
_cell_length_c 7.248
_cell_angle_alpha 90.00
_cell_angle_beta 90.00
_cell_angle_gamma 90.00
loop_
_atom_site_label
_atom_site_type_symbol
_atom_site_fract_x
_atom_site_fract_y
_atom_site_fract_z
K1 K 0.000 0.000 0.000
Zr1 Zr 0.000 0.000 0.500
Ag1 Ag 0.250 0.250 0.250
```

Properties
**Crystal system**: cubic
**ΔH_f (0 K)**: 0.520 eV/atom

=====

Record 7
Compound: ZrP3Os
Source: the Alexandria database
Functional: PBE
Structure: optimized geometry

Cell and atoms, written as CIF:
```
data_ZrP3Os
_chemical_formula_sum 'Zr1 P3 Os1'
_space_group_name_H-M_alt 'P m -3 m'
_space_group_IT_number 221
_space_group_name_Hall '-P 4 2 3'
_cell_length_a 4.919
_cell_length_b 4.919
_cell_length_c 4.919
_cell_angle_alpha 90.00
_cell_angle_beta 90.00
_cell_angle_gamma 90.00
loop_
_atom_site_label
_atom_site_type_symbol
_atom_site_fract_x
_atom_site_fract_y
_atom_site_fract_z
Zr1 Zr 0.000 0.000 0.000
P1 P 0.000 0.000 0.500
Os1 Os 0.500 0.500 0.500
```

Properties
**Crystal system**: cubic
**ΔH_f (0 K)**: 1.490 eV/atom

=====

Record 8
Compound: Li3Ag
Source: the Alexandria database
Functional: PBE
Structure: optimized geometry

Cell and atoms, written as CIF:
```
data_Li3Ag
_chemical_formula_sum 'Li3 Ag1'
_space_group_name_H-M_alt 'P -6 m 2'
_space_group_IT_number 187
_space_group_name_Hall 'P -6 2'
_cell_length_a 2.9856
_cell_length_b 2.9856
_cell_length_c 9.3916
_cell_angle_alpha 90.00
_cell_angle_beta 90.00
_cell_angle_gamma 120.00
loop_
_atom_site_label
_atom_site_type_symbol
_atom_site_fract_x
_atom_site_fract_y
_atom_site_fract_z
Li1 Li 0.0000 0.0000 0.0000
Li2 Li 0.6667 0.3333 0.2683
Ag1 Ag 0.0000 0.0000 0.5000
```

Properties
**Crystal system**: hexagonal
**ΔH_f (0 K)**: -0.072 eV/atom

=====

Record 9
Compound: Pm5CoSb
Source: the Alexandria database
Functional: PBE
Structure: optimized geometry

Cell and atoms, written as CIF:
```
data_Pm5CoSb
_chemical_formula_sum 'Pm20 Co4 Sb4'
_space_group_name_H-M_alt 'C 1 2/c 1'
_space_group_IT_number 15
_space_group_name_Hall '-C 2yc'
_cell_length_a 11.990
_cell_length_b 8.709
_cell_length_c 9.702
_cell_angle_alpha 90.00
_cell_angle_beta 107.56
_cell_angle_gamma 90.00
loop_
_atom_site_label
_atom_site_type_symbol
_atom_site_fract_x
_atom_site_fract_y
_atom_site_fract_z
Pm1 Pm 0.000 0.093 0.250
Pm2 Pm 0.084 0.285 0.978
Pm3 Pm 0.224 0.107 0.643
Co1 Co 0.000 0.000 0.000
Sb1 Sb 0.000 0.450 0.250
```

Properties
**Crystal system**: monoclinic

=====

Record 10
Compound: AcHo2Ge2
Source: the Alexandria database
Functional: PBE
Structure: optimized geometry

Cell and atoms, written as CIF:
```
data_AcHo2Ge2
_chemical_formula_sum 'Ac4 Ho8 Ge8'
_space_group_name_H-M_alt 'C 1 2/c 1'
_space_group_IT_number 15
_space_group_name_Hall '-C 2yc'
_cell_length_a 9.821
_cell_length_b 11.453
_cell_length_c 6.547
_cell_angle_alpha 90.00
_cell_angle_beta 121.98
_cell_angle_gamma 90.00
loop_
_atom_site_label
_atom_site_type_symbol
_atom_site_fract_x
_atom_site_fract_y
_atom_site_fract_z
Ac1 Ac 0.000 0.128 0.250
Ho1 Ho 0.166 0.389 0.003
Ge1 Ge 0.000 0.163 0.750
Ge2 Ge 0.000 0.400 0.250
```

Properties
**Crystal system**: monoclinic
**ΔH_f (0 K)**: -0.492 eV/atom

=====

Record 11
Compound: CeLuHf2
Source: the Alexandria database
Functional: PBE
Structure: optimized geometry

Cell and atoms, written as CIF:
```
data_CeLuHf2
_chemical_formula_sum 'Ce1 Lu1 Hf2'
_space_group_name_H-M_alt 'P 4/m m m'
_space_group_IT_number 123
_space_group_name_Hall '-P 4 2'
_cell_length_a 3.843
_cell_length_b 3.843
_cell_length_c 6.805
_cell_angle_alpha 90.00
_cell_angle_beta 90.00
_cell_angle_gamma 90.00
loop_
_atom_site_label
_atom_site_type_symbol
_atom_site_fract_x
_atom_site_fract_y
_atom_site_fract_z
Ce1 Ce 0.000 0.000 0.000
Lu1 Lu 0.000 0.000 0.500
Hf1 Hf 0.500 0.500 0.222
```

Properties
**Crystal system**: tetragonal
**ΔH_f (0 K)**: 0.228 eV/atom

=====

Record 12
Compound: Zn8InNi4
Source: the Alexandria database
Functional: PBE
Structure: optimized geometry

Cell and atoms, written as CIF:
```
data_Zn8InNi4
_chemical_formula_sum 'Zn16 In2 Ni8'
_space_group_name_H-M_alt 'I 4/m m m'
_space_group_IT_number 139
_space_group_name_Hall '-I 4 2'
_cell_length_a 8.508
_cell_length_b 8.508
_cell_length_c 5.107
_cell_angle_alpha 90.00
_cell_angle_beta 90.00
_cell_angle_gamma 90.00
loop_
_atom_site_label
_atom_site_type_symbol
_atom_site_fract_x
_atom_site_fract_y
_atom_site_fract_z
Zn1 Zn 0.000 0.226 0.000
Zn2 Zn 0.000 0.333 0.500
In1 In 0.000 0.000 0.500
Ni1 Ni 0.250 0.250 0.250
```

Properties
**Crystal system**: tetragonal
**ΔH_f (0 K)**: -0.147 eV/atom

=====

Record 13
Compound: PrHgPd2
Source: the Alexandria database
Functional: PBE
Structure: optimized geometry

Cell and atoms, written as CIF:
```
data_PrHgPd2
_chemical_formula_sum 'Pr1 Hg1 Pd2'
_space_group_name_H-M_alt 'P 4/m m m'
_space_group_IT_number 123
_space_group_name_Hall '-P 4 2'
_cell_length_a 3.695
_cell_length_b 3.695
_cell_length_c 6.234
_cell_angle_alpha 90.00
_cell_angle_beta 90.00
_cell_angle_gamma 90.00
loop_
_atom_site_label
_atom_site_type_symbol
_atom_site_fract_x
_atom_site_fract_y
_atom_site_fract_z
Pr1 Pr 0.000 0.000 0.000
Hg1 Hg 0.000 0.000 0.500
Pd1 Pd 0.500 0.500 0.268
```

Properties
**Crystal system**: tetragonal
**ΔH_f (0 K)**: -0.511 eV/atom

=====

Record 14
Compound: YHo10Er4
Source: the Alexandria database
Functional: PBE
Structure: optimized geometry

Cell and atoms, written as CIF:
```
data_YHo10Er4
_chemical_formula_sum 'Y2 Ho20 Er8'
_space_group_name_H-M_alt 'I 4/m'
_space_group_IT_number 87
_space_group_name_Hall '-I 4'
_cell_length_a 12.065
_cell_length_b 12.065
_cell_length_c 7.625
_cell_angle_alpha 90.00
_cell_angle_beta 90.00
_cell_angle_gamma 90.00
loop_
_atom_site_label
_atom_site_type_symbol
_atom_site_fract_x
_atom_site_fract_y
_atom_site_fract_z
Y1 Y 0.000 0.000 0.000
Ho1 Ho 0.000 0.500 0.250
Ho2 Ho 0.100 0.201 0.251
Er1 Er 0.100 0.700 0.500
```

Properties
**Crystal system**: tetragonal
**ΔH_f (0 K)**: 0.730 eV/atom

=====

Record 15
Compound: YMgAg4
Source: the Alexandria database
Functional: PBE
Structure: optimized geometry

Cell and atoms, written as CIF:
```
data_YMgAg4
_chemical_formula_sum 'Y2 Mg2 Ag8'
_space_group_name_H-M_alt 'C 1 2/m 1'
_space_group_IT_number 12
_space_group_name_Hall '-C 2y'
_cell_length_a 9.803
_cell_length_b 3.684
_cell_length_c 7.134
_cell_angle_alpha 90.00
_cell_angle_beta 110.24
_cell_angle_gamma 90.00
loop_
_atom_site_label
_atom_site_type_symbol
_atom_site_fract_x
_atom_site_fract_y
_atom_site_fract_z
Y1 Y 0.000 0.000 0.000
Mg1 Mg 0.000 0.000 0.500
Ag1 Ag 0.164 0.500 0.348
Ag2 Ag 0.169 0.500 0.815
```

Properties
**Crystal system**: monoclinic
**ΔH_f (0 K)**: -0.213 eV/atom

=====

Record 16
Compound: Sb2SeICl
Source: the Alexandria database
Functional: PBE
Structure: optimized geometry

Cell and atoms, written as CIF:
```
data_Sb2SeICl
_chemical_formula_sum 'Sb2 Se1 I1 Cl1'
_space_group_name_H-M_alt 'P 4/m m m'
_space_group_IT_number 123
_space_group_name_Hall '-P 4 2'
_cell_length_a 5.494
_cell_length_b 5.494
_cell_length_c 5.365
_cell_angle_alpha 90.00
_cell_angle_beta 90.00
_cell_angle_gamma 90.00
loop_
_atom_site_label
_atom_site_type_symbol
_atom_site_fract_x
_atom_site_fract_y
_atom_site_fract_z
Sb1 Sb 0.000 0.500 0.000
Se1 Se 0.000 0.000 0.500
I1 I 0.500 0.500 0.500
Cl1 Cl 0.500 0.500 0.000
```

Properties
**Crystal system**: tetragonal

=====

Record 17
Compound: Pd2Ru2Au
Source: the Alexandria database
Functional: PBE
Structure: optimized geometry

Cell and atoms, written as CIF:
```
data_Pd2Ru2Au
_chemical_formula_sum 'Pd4 Ru4 Au2'
_space_group_name_H-M_alt 'P 4/m b m'
_space_group_IT_number 127
_space_group_name_Hall '-P 4 2ab'
_cell_length_a 7.645
_cell_length_b 7.645
_cell_length_c 2.776
_cell_angle_alpha 90.00
_cell_angle_beta 90.00
_cell_angle_gamma 90.00
loop_
_atom_site_label
_atom_site_type_symbol
_atom_site_fract_x
_atom_site_fract_y
_atom_site_fract_z
Pd1 Pd 0.183 0.317 0.000
Ru1 Ru 0.112 0.612 0.500
Au1 Au 0.000 0.000 0.500
```

Properties
**Crystal system**: tetragonal
**ΔH_f (0 K)**: 0.445 eV/atom

=====

Record 18
Compound: CuH8Rh3
Source: the Alexandria database
Functional: PBE
Structure: optimized geometry

Cell and atoms, written as CIF:
```
data_CuH8Rh3
_chemical_formula_sum 'Cu2 H16 Rh6'
_space_group_name_H-M_alt 'C 1 m 1'
_space_group_IT_number 8
_space_group_name_Hall 'C -2y'
_cell_length_a 10.774
_cell_length_b 3.427
_cell_length_c 5.947
_cell_angle_alpha 90.00
_cell_angle_beta 123.24
_cell_angle_gamma 90.00
loop_
_atom_site_label
_atom_site_type_symbol
_atom_site_fract_x
_atom_site_fract_y
_atom_site_fract_z
Cu1 Cu 0.000 0.000 0.000
H1 H 0.035 0.500 0.502
H2 H 0.115 0.000 0.371
H3 H 0.115 0.000 0.861
H4 H 0.208 0.000 0.710
H5 H 0.218 0.000 0.221
H6 H 0.285 0.500 0.047
H7 H 0.314 0.500 0.507
H8 H 0.442 0.000 0.942
Rh1 Rh 0.013 0.000 0.514
Rh2 Rh 0.317 0.000 0.071
Rh3 Rh 0.318 0.000 0.567
```

Properties
**Crystal system**: monoclinic

=====

Record 19
Compound: Pm4PuS6
Source: the Alexandria database
Functional: PBE
Structure: optimized geometry

Cell and atoms, written as CIF:
```
data_Pm4PuS6
_chemical_formula_sum 'Pm16 Pu4 S24'
_space_group_name_H-M_alt 'C m c m'
_space_group_IT_number 63
_space_group_name_Hall '-C 2c 2'
_cell_length_a 3.970
_cell_length_b 13.305
_cell_length_c 20.184
_cell_angle_alpha 90.00
_cell_angle_beta 90.00
_cell_angle_gamma 90.00
loop_
_atom_site_label
_atom_site_type_symbol
_atom_site_fract_x
_atom_site_fract_y
_atom_site_fract_z
Pm1 Pm 0.000 0.091 0.131
Pm2 Pm 0.000 0.361 0.042
Pu1 Pu 0.000 0.155 0.750
S1 S 0.000 0.000 0.000
S2 S 0.000 0.196 0.250
S3 S 0.000 0.271 0.589
S4 S 0.000 0.452 0.169
```

Properties
**Crystal system**: orthorhombic

=====

Record 20
Compound: Na2Dy2Hg7
Source: the Alexandria database
Functional: PBE
Structure: optimized geometry

Cell and atoms, written as CIF:
```
data_Na2Dy2Hg7
_chemical_formula_sum 'Na4 Dy4 Hg14'
_space_group_name_H-M_alt 'C m m m'
_space_group_IT_number 65
_space_group_name_Hall '-C 2 2'
_cell_length_a 9.771
_cell_length_b 11.004
_cell_length_c 5.905
_cell_angle_alpha 90.00
_cell_angle_beta 90.00
_cell_angle_gamma 90.00
loop_
_atom_site_label
_atom_site_type_symbol
_atom_site_fract_x
_atom_site_fract_y
_atom_site_fract_z
Na1 Na 0.000 0.237 0.000
Dy1 Dy 0.190 0.500 0.500
Hg1 Hg 0.000 0.000 0.255
Hg2 Hg 0.000 0.500 0.000
Hg3 Hg 0.250 0.250 0.254
```

Properties
**Crystal system**: orthorhombic
**ΔH_f (0 K)**: -0.041 eV/atom

=====

Q: Which energy values were calculated for the entries above? A: -4.097; -7.628; -6.749; -4.506; -5.189; -3.317; -5.712; -2.220; -5.134; -4.992; -7.362; -2.921; -4.377; -3.969; -3.457; -2.139; -5.998; -4.347; -7.238; -1.310, in eV/atom.
Q: Which M_tot values were calculated for the entries above? A: 0.00; 0.01; 0.00; 0.00; 0.03; 0.00; 0.50; 0.00; 0.00; 0.00; 0.00; 0.00; 0.00; 0.00; 0.00; 0.00; 0.35; 0.00; 0.50; 0.00, in μB per atom.